Model P:
Below is a geometry-optimized NbBS2N structure, with properties calculated at the GGA-PBE level.

Cell and atoms, written as CIF:
```
data_NbBS2N
_symmetry_space_group_name_H-M 'P 4/m m m'
_symmetry_Int_Tables_number 123
_symmetry_space_group_name_Hall '-P 4 2'
_cell_length_a 4.9781
_cell_length_b 4.9781
_cell_length_c 2.7125
_cell_angle_alpha 90.00
_cell_angle_beta 90.00
_cell_angle_gamma 90.00
loop_
_atom_site_label
_atom_site_type_symbol
_atom_site_fract_x
_atom_site_fract_y
_atom_site_fract_z
_atom_site_occupancy
Nb1 Nb 0.0000 0.0000 0.0000 1
B1 B 0.5000 0.5000 0.5000 1
S1 S 0.0000 0.5000 0.5000 1
N1 N 0.5000 0.5000 0.0000 1
```

Calculated values
Its total magnetization is 0.0 Bohr magnetons per cell.

***

Model Q:
Below is a geometry-optimized NbBS2N structure, with properties calculated at the GGA-PBE level.

Cell and atoms, written as CIF:
```
data_NbBS2N
_symmetry_space_group_name_H-M 'P 4/m m m'
_symmetry_Int_Tables_number 123
_symmetry_space_group_name_Hall '-P 4 2'
_cell_length_a 4.9102
_cell_length_b 4.9102
_cell_length_c 3.9267
_cell_angle_alpha 90.00
_cell_angle_beta 90.00
_cell_angle_gamma 90.00
loop_
_atom_site_label
_atom_site_type_symbol
_atom_site_fract_x
_atom_site_fract_y
_atom_site_fract_z
_atom_site_occupancy
Nb1 Nb 0.0000 0.0000 0.0000 1
B1 B 0.5000 0.5000 0.5000 1
S1 S 0.0000 0.5000 0.0000 1
N1 N 0.0000 0.0000 0.5000 1
```

Calculated values
Its total magnetization is 0.0 Bohr magnetons per cell.

***

model P has the most favorable energy; the next structure is 0.610 eV/atom above.

***

Model P:
Below is a geometry-optimized NbBTe2N structure, with properties calculated at the GGA-PBE level.

Cell and atoms, written as CIF:
```
data_NbBTe2N
_symmetry_space_group_name_H-M 'P 4/m m m'
_symmetry_Int_Tables_number 123
_symmetry_space_group_name_Hall '-P 4 2'
_cell_length_a 5.6846
_cell_length_b 5.6846
_cell_length_c 2.8178
_cell_angle_alpha 90.00
_cell_angle_beta 90.00
_cell_angle_gamma 90.00
loop_
_atom_site_label
_atom_site_type_symbol
_atom_site_fract_x
_atom_site_fract_y
_atom_site_fract_z
_atom_site_occupancy
Nb1 Nb 0.0000 0.0000 0.0000 1
B1 B 0.5000 0.5000 0.5000 1
Te1 Te 0.0000 0.5000 0.5000 1
N1 N 0.5000 0.5000 0.0000 1
```

Calculated values
Its total magnetization is 0.0 Bohr magnetons per cell.

***

Model Q:
Below is a geometry-optimized NbBTe2N structure, with properties calculated at the GGA-PBE level.

Cell and atoms, written as CIF:
```
data_NbBTe2N
_symmetry_space_group_name_H-M 'P 4/m m m'
_symmetry_Int_Tables_number 123
_symmetry_space_group_name_Hall '-P 4 2'
_cell_length_a 5.5452
_cell_length_b 5.5452
_cell_length_c 3.8921
_cell_angle_alpha 90.00
_cell_angle_beta 90.00
_cell_angle_gamma 90.00
loop_
_atom_site_label
_atom_site_type_symbol
_atom_site_fract_x
_atom_site_fract_y
_atom_site_fract_z
_atom_site_occupancy
Nb1 Nb 0.0000 0.0000 0.0000 1
B1 B 0.5000 0.5000 0.5000 1
Te1 Te 0.0000 0.5000 0.0000 1
N1 N 0.0000 0.0000 0.5000 1
```

Calculated values
Its total magnetization is 0.0 Bohr magnetons per cell.

***

model P has the most favorable energy; the next structure is 0.555 eV/atom above.

***

Model P:
Below is a geometry-optimized NiB3N structure, with properties calculated at the GGA-PBE level.

Cell and atoms, written as CIF:
```
data_NiB3N
_symmetry_space_group_name_H-M 'P m -3 m'
_symmetry_Int_Tables_number 221
_symmetry_space_group_name_Hall '-P 4 2 3'
_cell_length_a 3.7482
_cell_length_b 3.7482
_cell_length_c 3.7482
_cell_angle_alpha 90.00
_cell_angle_beta 90.00
_cell_angle_gamma 90.00
loop_
_atom_site_label
_atom_site_type_symbol
_atom_site_fract_x
_atom_site_fract_y
_atom_site_fract_z
_atom_site_occupancy
Ni1 Ni 0.0000 0.0000 0.0000 1
B1 B 0.0000 0.0000 0.5000 1
N1 N 0.5000 0.5000 0.5000 1
```

Calculated values
Its total magnetization is 2.0 Bohr magnetons per cell.

***

Model Q:
Below is a geometry-optimized NiB3N structure, with properties calculated at the GGA-PBE level.

Cell and atoms, written as CIF:
```
data_NiB3N
_symmetry_space_group_name_H-M 'P m -3 m'
_symmetry_Int_Tables_number 221
_symmetry_space_group_name_Hall '-P 4 2 3'
_cell_length_a 3.3383
_cell_length_b 3.3383
_cell_length_c 3.3383
_cell_angle_alpha 90.00
_cell_angle_beta 90.00
_cell_angle_gamma 90.00
loop_
_atom_site_label
_atom_site_type_symbol
_atom_site_fract_x
_atom_site_fract_y
_atom_site_fract_z
_atom_site_occupancy
Ni1 Ni 0.0000 0.0000 0.0000 1
B1 B 0.0000 0.5000 0.5000 1
N1 N 0.5000 0.5000 0.5000 1
```

Calculated values
Its total magnetization is 0.0 Bohr magnetons per cell.

***

model Q has the most favorable energy; the next structure is 0.376 eV/atom above.